Record 1
## RhCl (PBE-GGA)

Data for a relaxed RhCl crystal.

## Properties
Fermi-level density of states, states/eV/atom: 1.469

abc: 7.3058 7.3058 3.4309
angles: 90.00 90.00 155.31
Element x y z (fractional)
Cl: 0.6350 0.3650 0.7500
Cl: 0.3650 0.6350 0.2500
Rh: 0.9280 0.0720 0.7500
Rh: 0.0720 0.9280 0.2500


Record 2
## Rh2Cl (PBE-GGA)

Data for a relaxed Rh2Cl crystal.

## Properties
Fermi-level density of states, states/eV/atom: 1.251

abc: 8.1544 8.1544 3.5648
angles: 90.00 90.00 145.08
Element x y z (fractional)
Cl: 0.1008 0.8992 0.7500
Cl: 0.8992 0.1008 0.2500
Rh: 0.2108 0.7892 0.2500
Rh: 0.6789 0.3211 0.2500
Rh: 0.7892 0.2108 0.7500
Rh: 0.3211 0.6789 0.7500


Record 3
## RhCl (PBE-GGA)

Data for a relaxed RhCl crystal.

## Properties
Fermi-level density of states, states/eV/atom: 1.234

abc: 5.0184 2.9720 3.0981
angles: 118.59 61.56 90.02
Element x y z (fractional)
Rh: 0.0329 0.1997 0.8196
Cl: 0.4947 0.4697 0.3583


Record 4
## Rh2Cl (PBE-GGA)

Data for a relaxed Rh2Cl crystal.

## Properties
Fermi-level density of states, states/eV/atom: 1.347

abc: 6.2005 6.2005 6.1443
angles: 71.61 71.61 26.54
Element x y z (fractional)
Rh: 0.3026 0.3026 0.3107
Rh: 0.6974 0.6974 0.6893
Rh: 0.3391 0.3391 0.8655
Rh: 0.6609 0.6609 0.1345
Cl: 0.9809 0.9809 0.2654
Cl: 0.0191 0.0191 0.7346


Record 5
## RhCl (PBE-GGA)

Data for a relaxed RhCl crystal.

## Properties
Fermi-level density of states, states/eV/atom: 1.401

abc: 4.1738 4.1738 12.5289
angles: 90.00 90.00 120.00
Each line ends with the local moment (μB).
Element x y z (fractional)
Rh: 0.0000 0.0000 0.2500  1.14
Rh: 0.0000 0.0000 0.7500  1.14
Rh: 0.6667 0.3333 0.2500  1.14
Rh: 0.3333 0.6667 0.7500  1.14
Cl: 0.3333 0.6667 0.3835  0.11
Cl: 0.6667 0.3333 0.8835  0.11
Cl: 0.3333 0.6667 0.1165  0.11
Cl: 0.6667 0.3333 0.6165  0.11


Record 6
## Rh3Cl (PBE-GGA)

Data for a relaxed Rh3Cl crystal.

## Properties
Fermi-level density of states, states/eV/atom: 1.571

abc: 8.4982 8.4982 8.4982
angles: 19.37 19.37 19.37
Element x y z (fractional)
Rh: 0.5000 0.5000 0.5000
Rh: 0.7485 0.7485 0.7485
Rh: 0.2515 0.2515 0.2515
Cl: 0.0000 0.0000 0.0000


Record 7
## RhCl2 (PBE-GGA)

Data for a relaxed RhCl2 crystal.

## Properties
Fermi-level density of states, states/eV/atom: 0.334

abc: 5.6659 5.6659 3.7411
angles: 90.00 90.00 90.00
Element x y z (fractional)
Cl: 0.3034 0.3034 0.0000
Cl: 0.1966 0.8034 0.5000
Cl: 0.8034 0.1966 0.5000
Cl: 0.6966 0.6966 0.0000
Rh: 0.5000 0.5000 0.5000
Rh: 0.0000 0.0000 0.0000


Record 8
## Rh3Cl (PBE-GGA)

Data for a relaxed Rh3Cl crystal.

## Properties
Fermi-level density of states, states/eV/atom: 1.395

abc: 6.2297 6.2297 7.3665
angles: 90.00 90.00 120.00
Element x y z (fractional)
Rh: 0.1561 0.8439 0.7500
Rh: 0.8439 0.1561 0.2500
Rh: 0.5000 0.0000 0.0000
Rh: 0.5000 0.5000 0.5000
Rh: 0.0000 0.5000 0.5000
Rh: 0.0000 0.5000 0.0000
Rh: 0.5000 0.5000 0.0000
Rh: 0.3123 0.1561 0.2500
Rh: 0.8439 0.6877 0.2500
Rh: 0.5000 0.0000 0.5000
Rh: 0.6877 0.8439 0.7500
Rh: 0.1561 0.3123 0.7500
Cl: 0.6667 0.3333 0.7500
Cl: 0.0000 0.0000 0.0000
Cl: 0.0000 0.0000 0.5000
Cl: 0.3333 0.6667 0.2500


Record 9
## RhCl (PBE-GGA)

Data for a relaxed RhCl crystal.

## Properties
Fermi-level density of states, states/eV/atom: 0.950

abc: 4.7954 4.7954 3.0741
angles: 90.00 90.00 90.00
Element x y z (fractional)
Cl: 0.2500 0.7500 0.0000
Cl: 0.7500 0.2500 0.0000
Rh: 0.2500 0.2500 0.1239
Rh: 0.7500 0.7500 0.8761


Record 10
## Rh2Cl3 (PBE-GGA)

Data for a relaxed Rh2Cl3 crystal.

## Properties
Fermi-level density of states, states/eV/atom: 0.908

abc: 3.6412 3.6412 8.9350
angles: 90.00 90.00 120.00
Each line ends with the local moment (μB).
Element x y z (fractional)
Cl: 0.3333 0.6667 0.3150  0.13
Cl: 0.0000 0.0000 0.0000  -0.01
Cl: 0.6667 0.3333 0.6850  0.13
Rh: 0.3333 0.6667 0.8142  0.67
Rh: 0.6667 0.3333 0.1858  0.67


Record 11
## RhCl2 (PBE-GGA)

Data for a relaxed RhCl2 crystal.

## Properties
Fermi-level density of states, states/eV/atom: 1.004

abc: 4.3464 4.3464 2.9874
angles: 90.00 90.00 90.00
Element x y z (fractional)
Rh: 0.0000 0.0000 0.0000
Cl: 0.5000 0.0000 0.5000
Cl: 0.0000 0.5000 0.5000


Record 12
## RhCl2 (PBE-GGA)

Data for a relaxed RhCl2 crystal.

## Properties
Fermi-level density of states, states/eV/atom: 0.760

abc: 6.7814 6.7814 6.3009
angles: 90.00 90.00 150.54
Each line ends with the local moment (μB).
Element x y z (fractional)
Rh: 0.0000 0.0000 0.7500  0.20
Rh: 0.0000 0.0000 0.2500  0.20
Cl: 0.3811 0.6189 0.2500  0.01
Cl: 0.6190 0.3810 0.2500  0.01
Cl: 0.6189 0.3811 0.7500  0.01
Cl: 0.3810 0.6190 0.7500  0.01


Record 13
## Rh3Cl (PBE-GGA)

Data for a relaxed Rh3Cl crystal.

## Properties
Fermi-level density of states, states/eV/atom: 1.306

abc: 3.4674 2.8648 6.5030
angles: 90.01 90.00 90.00
Element x y z (fractional)
Rh: 0.5000 0.9999 0.7106
Rh: 0.5000 0.0001 0.2894
Rh: 0.0000 0.5000 0.5000
Cl: 0.0000 0.0000 0.0000


Record 14
## RhCl8 (PBE-GGA)

Data for a relaxed RhCl8 crystal.

## Properties
Fermi-level density of states, states/eV/atom: 1.177

abc: 6.9718 6.9718 6.9718
angles: 110.10 110.10 108.22
Each line ends with the local moment (μB).
Element x y z (fractional)
Rh: 0.0000 0.0000 0.0000  0.85
Cl: 0.6664 0.3336 0.0000  0.01
Cl: 0.3336 0.3336 0.6673  0.01
Cl: 0.3336 0.6664 0.0000  0.01
Cl: 0.7150 0.0000 0.7150  0.07
Cl: 0.2850 0.0000 0.2850  0.07
Cl: 0.0000 0.2850 0.2850  0.07
Cl: 0.6664 0.6664 0.3327  0.01
Cl: 0.0000 0.7150 0.7150  0.07


Record 15
## RhCl2 (PBE-GGA)

Data for a relaxed RhCl2 crystal.

## Properties
Fermi-level density of states, states/eV/atom: 1.958

abc: 5.6069 5.6069 5.6069
angles: 60.00 60.00 60.00
Each line ends with the local moment (μB).
Element x y z (fractional)
Rh: 0.7500 0.7500 0.7500  1.64
Rh: 0.5000 0.5000 0.5000  1.64
Cl: 0.1250 0.6250 0.1250  -0.14
Cl: 0.1250 0.1250 0.6250  -0.14
Cl: 0.6250 0.1250 0.1250  -0.14
Cl: 0.1250 0.1250 0.1250  -0.14


Record 16
## RhCl (PBE-GGA)

Data for a relaxed RhCl crystal.

## Properties
Fermi-level density of states, states/eV/atom: 0.419

abc: 4.5068 4.5068 4.5068
angles: 60.00 60.00 60.00
Element x y z (fractional)
Cl: 0.0000 0.0000 0.0000
Cl: 0.2500 0.2500 0.2500
Rh: 0.5000 0.5000 0.5000
Rh: 0.7500 0.7500 0.7500


Record 17
## RhCl (PBE-GGA)

Data for a relaxed RhCl crystal.

## Properties
Fermi-level density of states, states/eV/atom: 1.351

abc: 3.9703 6.0008 9.1782
angles: 90.00 90.00 90.00
Element x y z (fractional)
Cl: 0.0000 0.1532 0.3357
Cl: 0.5000 0.8468 0.8357
Cl: 0.0000 0.4187 0.0000
Cl: 0.5000 0.5813 0.5000
Cl: 0.0000 0.1532 0.6643
Cl: 0.5000 0.8468 0.1643
Rh: 0.0000 0.6285 0.2322
Rh: 0.5000 0.3715 0.2678
Rh: 0.5000 0.2010 0.0000
Rh: 0.0000 0.6285 0.7678
Rh: 0.5000 0.3715 0.7322
Rh: 0.0000 0.7990 0.5000


Record 18
## RhCl (PBE-GGA)

Data for a relaxed RhCl crystal.

## Properties
Fermi-level density of states, states/eV/atom: 1.371

abc: 3.8947 3.8947 3.8947
angles: 60.00 60.00 60.00
Each line ends with the local moment (μB).
Element x y z (fractional)
Rh: 0.7500 0.7500 0.7500  0.75
Cl: 0.0000 0.0000 0.0000  0.11


Record 19
## Rh2Cl (PBE-GGA)

Data for a relaxed Rh2Cl crystal.

## Properties
Fermi-level density of states, states/eV/atom: 1.421

abc: 5.8239 5.8239 5.8239
angles: 150.63 150.63 42.02
Each line ends with the local moment (μB).
Element x y z (fractional)
Rh: 0.8263 0.8263 0.0000  1.09
Rh: 0.1737 0.1737 0.0000  1.09
Cl: 0.5000 0.5000 0.0000  0.07


Record 20
## Rh2Cl (PBE-GGA)

Data for a relaxed Rh2Cl crystal.

## Properties
Fermi-level density of states, states/eV/atom: 1.084

abc: 4.6213 4.8011 9.0642
angles: 90.00 90.00 90.00
Element x y z (fractional)
Cl: 0.7500 0.4997 0.6218
Cl: 0.2500 0.0003 0.1218
Cl: 0.2500 0.5003 0.3782
Cl: 0.7500 0.9997 0.8782
Rh: 0.2500 0.5002 0.0717
Rh: 0.2500 0.9997 0.7160
Rh: 0.7500 0.4998 0.9283
Rh: 0.7500 0.0003 0.2840
Rh: 0.7500 0.9998 0.5717
Rh: 0.2500 0.0002 0.4283
Rh: 0.7500 0.5003 0.2160
Rh: 0.2500 0.4997 0.7840


no.,uncorrected formation energy (meV/atom),total energy (eV/cell)
1,305,-17.175
2,393,-30.739
3,321,-8.555
4,317,-31.194
5,538,-32.488
6,302,-22.691
7,-361,-24.253
8,678,-84.753
9,381,-16.872
10,13,-20.176
11,119,-10.689
12,-325,-24.040
13,285,-22.763
14,142,-20.844
15,1338,-14.062
16,686,-15.651
17,144,-53.460
18,491,-8.216
19,435,-15.243
20,377,-61.672